Record 1
A plane-wave DFT calculation with GGA-PBE was carried out for ScInAgPb after structural relaxation.

Geometry as extended XYZ:
```
4
Lattice="4.2862 0.0000 0.0000 0.0000 4.4410 0.0000 0.0000 0.0000 4.7473" Properties=species:S:1:pos:R:3 pbc="T T T"
Sc 2.1431 2.2205 0.0000
Pb 0.0000 0.0000 0.0000
Ag 2.1431 0.0000 2.3737
In 0.0000 2.2205 2.3737
```

Summary:
As for the space group: Pmmm. As for the distance to the lowest polymorph of the same formula: 0 kJ/mol of formula units. As for the energy: -4.142 eV per atom. The formation energy is -5.41 kcal/mol of atoms. The calculation puts the total magnetic moment at 0.00 μB/f.u.



Record 2
A plane-wave DFT calculation with GGA-PBE was carried out for Ho2Ga4Pd5 after structural relaxation.

Geometry as extended XYZ:
```
11
Lattice="5.6190 0.0000 0.0000 2.8095 4.6672 0.0000 2.8095 0.0000 7.8415" Properties=species:S:1:pos:R:3 pbc="T T T"
Ho 2.8095 0.0000 5.8694
Pd 2.8095 0.0000 0.0000
Pd 1.4048 2.3336 0.0000
Ga 5.6190 1.4508 5.7954
Ga 8.4285 3.2164 5.7954
Pd 4.2143 2.3336 3.9207
Pd 4.2143 2.3336 0.0000
Ga 2.8095 1.4508 2.0461
Ga 5.6190 3.2164 2.0461
Ho 5.6190 0.0000 1.9721
Pd 7.0238 2.3336 3.9207
```

Summary:
As for the space group: Fmmm. As for the energy: -5.003 eV per atom. The formation energy is -16.37 kcal/mol of atoms. The calculation puts the total magnetic moment at 0.00 μB/f.u.



Record 3
A plane-wave DFT calculation with GGA-PBE was carried out for ZrGeAs3 after structural relaxation.

Geometry as extended XYZ:
```
5
Lattice="5.1788 0.0000 0.0000 0.0000 5.1788 0.0000 0.0000 0.0000 5.1788" Properties=species:S:1:pos:R:3 pbc="T T T"
As 0.0000 2.5894 0.0000
Ge 2.5894 2.5894 2.5894
As 2.5894 0.0000 0.0000
Zr 0.0000 0.0000 0.0000
As 0.0000 0.0000 2.5894
```

Summary:
As for the space group: Pm-3m. As for the distance to the lowest polymorph of the same formula: 0 kJ/mol of formula units. As for the energy: -5.029 eV per atom. The formation energy is 9.09 kcal/mol of atoms. The calculation puts the total magnetic moment at 0.00 μB/f.u.



Record 4
A plane-wave DFT calculation with GGA-PBE was carried out for LiPa2Si after structural relaxation.

Geometry as extended XYZ:
```
4
Lattice="4.3758 0.0000 0.0000 0.0000 4.2641 0.0000 0.0000 0.0000 4.2641" Properties=species:S:1:pos:R:3 pbc="T T T"
Li 2.1879 0.0000 0.0000
Si 2.1879 2.1320 2.1320
Pa 0.0000 0.0000 2.1320
Pa 0.0000 2.1320 0.0000
```

Summary:
As for the space group: P4/mmm. The formation energy without anion corrections comes out at -9.6 kJ/mol of atoms. As for the distance to the lowest polymorph of the same formula: 0 kJ/mol of formula units. As for the energy: -6.682 eV per atom. The calculation puts the total magnetic moment at 0.00 μB/f.u.



Record 5
A plane-wave DFT calculation with GGA-PBE was carried out for LiPaRuPb after structural relaxation.

Geometry as extended XYZ:
```
4
Lattice="4.7895 0.0000 0.0000 2.3948 4.1479 0.0000 2.3948 1.3826 3.9106" Properties=species:S:1:pos:R:3 pbc="T T T"
Li 2.3948 1.3826 0.9777
Pb 4.7895 2.7652 1.9553
Pa 0.0000 0.0000 0.0000
Ru 7.1843 4.1479 2.9330
```

Summary:
As for the space group: F-43m. As for the energy: -6.241 eV per atom. The formation energy is -3.28 kcal/mol of atoms. The calculation puts the total magnetic moment at 0.00 μB/f.u.



Record 6
A plane-wave DFT calculation with GGA-PBE was carried out for CaNb3Tc after structural relaxation.

Geometry as extended XYZ:
```
5
Lattice="4.6368 0.0000 0.0000 0.0000 4.6368 0.0000 0.0000 0.0000 4.6368" Properties=species:S:1:pos:R:3 pbc="T T T"
Nb 0.0000 0.0000 2.3184
Ca 0.0000 0.0000 0.0000
Tc 2.3184 2.3184 2.3184
Nb 0.0000 2.3184 0.0000
Nb 2.3184 0.0000 0.0000
```

Summary:
As for the space group: Pm-3m. As for the distance to the lowest polymorph of the same formula: 815 kJ/mol of formula units. As for the energy: -6.033 eV per atom. The formation energy is 57.24 kcal/mol of atoms. The calculation puts the total magnetic moment at 0.00 μB/f.u.